VASP calculation (PBE) on crystalline CaGeHSe at its relaxed geometry.

Geometry as CIF:
```
data_CaGeHSe
_symmetry_space_group_name_H-M 'P 1'
_symmetry_Int_Tables_number 1
_cell_length_a 4.138
_cell_length_b 3.733
_cell_length_c 5.605
_cell_angle_alpha 90.00
_cell_angle_beta 102.54
_cell_angle_gamma 90.00
loop_
_symmetry_equiv_pos_as_xyz
'x,y,z'
loop_
_atom_site_label
_atom_site_type_symbol
_atom_site_fract_x
_atom_site_fract_y
_atom_site_fract_z
_atom_site_occupancy
Ca1 Ca 0.000 0.000 0.000 1
Ge1 Ge 0.580 0.500 0.384 1
H1 H 0.171 0.500 0.262 1
Se1 Se 0.456 0.500 0.810 1
```

Values from the calculation:
The value obtained for the total magnetization is 0.0000 μB/atom. As for the uncorrected energy: -15.95 eV for the cell shown. As for the crystal system: monoclinic. As for the space-group type: Pm (6).

---

VASP calculation (PBE) on crystalline Dy3H12Ru5 at its relaxed geometry.

Geometry as CIF:
```
data_Dy3H12Ru5
_symmetry_space_group_name_H-M 'P 1'
_symmetry_Int_Tables_number 1
_cell_length_a 9.908
_cell_length_b 9.908
_cell_length_c 9.908
_cell_angle_alpha 109.47
_cell_angle_beta 109.47
_cell_angle_gamma 109.47
loop_
_symmetry_equiv_pos_as_xyz
'x,y,z'
loop_
_atom_site_label
_atom_site_type_symbol
_atom_site_fract_x
_atom_site_fract_y
_atom_site_fract_z
_atom_site_occupancy
Dy1 Dy 0.125 0.250 0.375 1
Dy2 Dy 0.125 0.375 0.750 1
Dy3 Dy 0.250 0.375 0.125 1
Dy4 Dy 0.250 0.875 0.625 1
Dy5 Dy 0.375 0.125 0.250 1
Dy6 Dy 0.375 0.750 0.125 1
Dy7 Dy 0.625 0.250 0.875 1
Dy8 Dy 0.625 0.875 0.750 1
Dy9 Dy 0.750 0.125 0.375 1
Dy10 Dy 0.750 0.625 0.875 1
Dy11 Dy 0.875 0.625 0.250 1
Dy12 Dy 0.875 0.750 0.625 1
H1 H 0.024 0.198 0.108 1
H2 H 0.024 0.326 0.916 1
H3 H 0.084 0.608 0.410 1
H4 H 0.084 0.976 0.674 1
H5 H 0.090 0.698 0.674 1
H6 H 0.090 0.892 0.416 1
H7 H 0.108 0.024 0.198 1
H8 H 0.108 0.584 0.910 1
H9 H 0.174 0.198 0.590 1
H10 H 0.174 0.476 0.584 1
H11 H 0.198 0.108 0.024 1
H12 H 0.198 0.590 0.174 1
H13 H 0.302 0.326 0.910 1
H14 H 0.302 0.476 0.392 1
H15 H 0.326 0.910 0.302 1
H16 H 0.326 0.916 0.024 1
H17 H 0.392 0.302 0.476 1
H18 H 0.392 0.590 0.916 1
H19 H 0.410 0.084 0.608 1
H20 H 0.410 0.826 0.802 1
H21 H 0.416 0.090 0.892 1
H22 H 0.416 0.826 0.524 1
H23 H 0.476 0.392 0.302 1
H24 H 0.476 0.584 0.174 1
H25 H 0.524 0.416 0.826 1
H26 H 0.524 0.608 0.698 1
H27 H 0.584 0.174 0.476 1
H28 H 0.584 0.910 0.108 1
H29 H 0.590 0.174 0.198 1
H30 H 0.590 0.916 0.392 1
H31 H 0.608 0.410 0.084 1
H32 H 0.608 0.698 0.524 1
H33 H 0.674 0.084 0.976 1
H34 H 0.674 0.090 0.698 1
H35 H 0.698 0.524 0.608 1
H36 H 0.698 0.674 0.090 1
H37 H 0.802 0.410 0.826 1
H38 H 0.802 0.892 0.976 1
H39 H 0.826 0.524 0.416 1
H40 H 0.826 0.802 0.410 1
H41 H 0.892 0.416 0.090 1
H42 H 0.892 0.976 0.802 1
H43 H 0.910 0.108 0.584 1
H44 H 0.910 0.302 0.326 1
H45 H 0.916 0.024 0.326 1
H46 H 0.916 0.392 0.590 1
H47 H 0.976 0.674 0.084 1
H48 H 0.976 0.802 0.892 1
Ru1 Ru 0.000 0.000 0.000 1
Ru2 Ru 0.000 0.000 0.500 1
Ru3 Ru 0.000 0.500 0.000 1
Ru4 Ru 0.000 0.500 0.500 1
Ru5 Ru 0.125 0.750 0.875 1
Ru6 Ru 0.125 0.875 0.250 1
Ru7 Ru 0.250 0.125 0.875 1
Ru8 Ru 0.250 0.625 0.375 1
Ru9 Ru 0.375 0.250 0.625 1
Ru10 Ru 0.375 0.625 0.750 1
Ru11 Ru 0.500 0.000 0.000 1
Ru12 Ru 0.500 0.000 0.500 1
Ru13 Ru 0.500 0.500 0.000 1
Ru14 Ru 0.500 0.500 0.500 1
Ru15 Ru 0.625 0.375 0.250 1
Ru16 Ru 0.625 0.750 0.375 1
Ru17 Ru 0.750 0.375 0.625 1
Ru18 Ru 0.750 0.875 0.125 1
Ru19 Ru 0.875 0.125 0.750 1
Ru20 Ru 0.875 0.250 0.125 1
```

Values from the calculation:
The value obtained for the total magnetization is 0.0000 μB/atom. As for the uncorrected energy: -421.30 eV for the cell shown. As for the crystal system: cubic. As for the space-group type: Ia-3d (230).

---

VASP calculation (PBE) on crystalline SbPOs2 at its relaxed geometry.

Geometry as CIF:
```
data_SbPOs2
_symmetry_space_group_name_H-M 'P 1'
_symmetry_Int_Tables_number 1
_cell_length_a 2.934
_cell_length_b 2.934
_cell_length_c 9.911
_cell_angle_alpha 90.00
_cell_angle_beta 90.00
_cell_angle_gamma 120.52
loop_
_symmetry_equiv_pos_as_xyz
'x,y,z'
loop_
_atom_site_label
_atom_site_type_symbol
_atom_site_fract_x
_atom_site_fract_y
_atom_site_fract_z
_atom_site_occupancy
Sb1 Sb 0.000 0.000 0.000 1
P1 P 0.500 0.500 0.648 1
Os1 Os 0.000 0.000 0.465 1
Os2 Os 0.500 0.500 0.235 1
```

Values from the calculation:
The value obtained for the total magnetization is 0.0000 μB/atom. For the formation energy without anion corrections, the calculation gives 684 meV per atom. As for the uncorrected energy: -29.26 eV for the cell shown. As for the crystal system: orthorhombic. As for the space-group type: Cmm2 (35).

---

VASP calculation (PBE) on crystalline K3Na4Au4 at its relaxed geometry.

Geometry as CIF:
```
data_K3Na4Au4
_symmetry_space_group_name_H-M 'P 1'
_symmetry_Int_Tables_number 1
_cell_length_a 9.523
_cell_length_b 9.523
_cell_length_c 9.523
_cell_angle_alpha 150.04
_cell_angle_beta 128.08
_cell_angle_gamma 61.11
loop_
_symmetry_equiv_pos_as_xyz
'x,y,z'
loop_
_atom_site_label
_atom_site_type_symbol
_atom_site_fract_x
_atom_site_fract_y
_atom_site_fract_z
_atom_site_occupancy
K1 K 0.000 0.000 0.000 1
K2 K 0.382 0.882 0.500 1
K3 K 0.618 0.118 0.500 1
Na1 Na 0.027 0.327 0.700 1
Na2 Na 0.373 0.673 0.700 1
Na3 Na 0.627 0.327 0.300 1
Na4 Na 0.973 0.673 0.300 1
Au1 Au 0.217 0.217 0.000 1
Au2 Au 0.326 0.500 0.826 1
Au3 Au 0.674 0.500 0.174 1
Au4 Au 0.783 0.783 0.000 1
```

Values from the calculation:
The value obtained for the total magnetization is 0.0000 μB/atom. As for the uncorrected energy: -24.52 eV for the cell shown. As for the crystal system: orthorhombic. The calculation puts the formation energy at -0.26 eV/atom. As for the space-group type: Immm (71).